[1]
{
  "formula": "Cd2Cu",
  "functional": "PBE",
  "state": "relaxed",
  "total_magnetization_mub_per_cell": 0.000,
  "formation_energy_mev_per_atom": 204,
  "crystal_system": "trigonal",
  "dos_ef_per_ev_cell": 3.954,
  "lattice": [[5.554, 0.000, 0.000], [-2.777, 4.810, 0.000], [0.000, 0.000, 7.402]],
  "species": ["Cd", "Cd", "Cd", "Cd", "Cd", "Cd", "Cu", "Cu", "Cu"],
  "fractional_positions": [[0.000, 0.362, 0.223], [0.000, 0.638, 0.777], [0.362, 0.000, 0.223], [0.362, 0.362, 0.777], [0.638, 0.000, 0.777], [0.638, 0.638, 0.223], [0.000, 0.000, 0.000], [0.333, 0.667, 0.500], [0.667, 0.333, 0.500]]
}

---

[2]
{
  "formula": "Tl2MoBr",
  "functional": "PBE",
  "state": "relaxed",
  "total_magnetization_mub_per_cell": 3.186,
  "raw_formation_energy_ev_per_atom": 0.6744,
  "e_above_lowest_polymorph_ev_per_atom": 0.404,
  "crystal_system": "monoclinic",
  "dos_ef_per_ev_cell": 2.575,
  "lattice": [[3.606, 0.000, 0.000], [0.000, 5.273, 0.000], [-0.680, 0.000, 5.554]],
  "species": ["Tl", "Tl", "Mo", "Br"],
  "fractional_positions": [[0.163, 0.000, 0.264], [0.837, 0.000, 0.736], [0.500, 0.500, 0.500], [0.500, 0.500, 0.000]]
}